First-principles (GGA-PBE) data for crystalline FeNiMo at its relaxed geometry, as listed in the Alexandria database.

Total energy in eV/atom: -8.247
E_form in meV/atom: 111
DOS(E_F) in states/eV/atom: 1.411
ΔE to the lowest computed polymorph in eV/atom: 0.0837

Lattice parameters (Å, degrees): 4.545 4.545 4.545 140.22 140.22 57.52
Element x y z (fractional)
Fe 0.000 0.000 0.000
Ni 0.665 0.665 0.000
Mo 0.338 0.338 0.000